# PBE Li2Al2ZnAg2Au, relaxed
# - volume (Å³/cell) = 127
# - energy (eV/atom) = -2.9030
data_Li2Al2ZnAg2Au
_cell_length_a 4.479
_cell_length_b 4.479
_cell_length_c 6.314
_cell_angle_alpha 90.00
_cell_angle_beta 90.00
_cell_angle_gamma 90.00
_space_group_name_H-M_alt 'P -4 m 2'
_space_group_IT_number 115
loop_
_space_group_symop_operation_xyz
'x,y,z'
'y,-x,-z'
'-x,-y,z'
'-y,x,-z'
'-x,y,z'
'-y,-x,-z'
'x,-y,z'
'y,x,-z'
loop_
_atom_site_label
_atom_site_type_symbol
_atom_site_fract_x
_atom_site_fract_y
_atom_site_fract_z
Li1 Li 0.000 0.500 0.248
Al1 Al 0.000 0.000 0.000
Al2 Al 0.500 0.500 0.500
Zn1 Zn 0.000 0.000 0.500
Ag1 Ag 0.000 0.500 0.730
Au1 Au 0.500 0.500 0.000